! LiNpSbOs, relaxed, DFT PBE; values from VASP
! SG: F-43m (216)
! formation energy (no corrections): -0.009 eV per atom
! electronic total energy: -7.561 eV per atom
! calculated density: 12.47 Mg/m³
! N(E_F): 39.1 states/eV per cell
! crystal system: cubic
&SYSTEM
  ibrav = 0, nat = 16, ntyp = 4
/
ATOMIC_SPECIES
Li 6.94 Li.upf
Np 237.00 Np.upf
Sb 121.76 Sb.upf
Os 190.23 Os.upf
CELL_PARAMETERS angstrom
6.6648 0.0000 0.0000
0.0000 6.6648 0.0000
0.0000 0.0000 6.6648
ATOMIC_POSITIONS angstrom
Li 0.0000 0.0000 0.0000
Li 0.0000 3.3324 3.3324
Li 3.3324 0.0000 3.3324
Li 3.3324 3.3324 0.0000
Np 1.6662 1.6662 4.9986
Np 1.6662 4.9986 1.6662
Np 4.9986 1.6662 1.6662
Np 4.9986 4.9986 4.9986
Sb 1.6662 1.6662 1.6662
Sb 1.6662 4.9986 4.9986
Sb 4.9986 1.6662 4.9986
Sb 4.9986 4.9986 1.6662
Os 0.0000 0.0000 3.3324
Os 0.0000 3.3324 0.0000
Os 3.3324 0.0000 0.0000
Os 3.3324 3.3324 3.3324

! LiNpSiOs, relaxed, DFT PBE; values from VASP
! SG: F-43m (216)
! formation energy (no corrections): 0.047 eV per atom
! electronic total energy: -7.830 eV per atom
! calculated density: 11.77 Mg/m³
! N(E_F): 33.7 states/eV per cell
! crystal system: cubic
&SYSTEM
  ibrav = 0, nat = 16, ntyp = 4
/
ATOMIC_SPECIES
Li 6.94 Li.upf
Np 237.00 Np.upf
Si 28.09 Si.upf
Os 190.23 Os.upf
CELL_PARAMETERS angstrom
6.3901 0.0000 0.0000
0.0000 6.3901 0.0000
0.0000 0.0000 6.3901
ATOMIC_POSITIONS angstrom
Li 0.0000 0.0000 0.0000
Li 0.0000 3.1950 3.1950
Li 3.1950 0.0000 3.1950
Li 3.1950 3.1950 0.0000
Np 1.5975 1.5975 4.7926
Np 1.5975 4.7926 1.5975
Np 4.7926 1.5975 1.5975
Np 4.7926 4.7926 4.7926
Si 1.5975 1.5975 1.5975
Si 1.5975 4.7926 4.7926
Si 4.7926 1.5975 4.7926
Si 4.7926 4.7926 1.5975
Os 0.0000 0.0000 3.1950
Os 0.0000 3.1950 0.0000
Os 3.1950 0.0000 0.0000
Os 3.1950 3.1950 3.1950

! LiNpSnOs, relaxed, DFT PBE; values from VASP
! SG: F-43m (216)
! electronic total energy: -7.468 eV per atom
! calculated density: 12.32 Mg/m³
! DFT formation energy: 0.22 eV per formula unit
! N(E_F): 42.8 states/eV per cell
! crystal system: cubic
&SYSTEM
  ibrav = 0, nat = 16, ntyp = 4
/
ATOMIC_SPECIES
Li 6.94 Li.upf
Np 237.00 Np.upf
Sn 118.71 Sn.upf
Os 190.23 Os.upf
CELL_PARAMETERS angstrom
6.6807 0.0000 0.0000
0.0000 6.6807 0.0000
0.0000 0.0000 6.6807
ATOMIC_POSITIONS angstrom
Li 0.0000 0.0000 0.0000
Li 0.0000 3.3403 3.3403
Li 3.3403 0.0000 3.3403
Li 3.3403 3.3403 0.0000
Np 1.6702 1.6702 5.0105
Np 1.6702 5.0105 1.6702
Np 5.0105 1.6702 1.6702
Np 5.0105 5.0105 5.0105
Sn 1.6702 1.6702 1.6702
Sn 1.6702 5.0105 5.0105
Sn 5.0105 1.6702 5.0105
Sn 5.0105 5.0105 1.6702
Os 0.0000 0.0000 3.3403
Os 0.0000 3.3403 0.0000
Os 3.3403 0.0000 0.0000
Os 3.3403 3.3403 3.3403

! LiNpP, relaxed, DFT PBE; values from VASP
! SG: F-43m (216)
! electronic total energy: -7.114 eV per atom
! calculated density: 7.13 Mg/m³
! DFT formation energy: -1.08 eV per formula unit
! N(E_F): 34.6 states/eV per cell
! crystal system: cubic
&SYSTEM
  ibrav = 0, nat = 12, ntyp = 3
/
ATOMIC_SPECIES
Li 6.94 Li.upf
Np 237.00 Np.upf
P 30.97 P.upf
CELL_PARAMETERS angstrom
6.3513 0.0000 0.0000
0.0000 6.3513 0.0000
0.0000 0.0000 6.3513
ATOMIC_POSITIONS angstrom
Li 0.0000 0.0000 0.0000
Li 0.0000 3.1756 3.1756
Li 3.1756 0.0000 3.1756
Li 3.1756 3.1756 0.0000
Np 0.0000 0.0000 3.1756
Np 0.0000 3.1756 0.0000
Np 3.1756 0.0000 0.0000
Np 3.1756 3.1756 3.1756
P 1.5878 1.5878 1.5878
P 1.5878 4.7635 4.7635
P 4.7635 1.5878 4.7635
P 4.7635 4.7635 1.5878

! Li2Np2P3, relaxed, DFT PBE; values from VASP
! SG: C2/m (12)
! electronic total energy: -7.254 eV per atom
! calculated density: 7.35 Mg/m³
! DFT formation energy: -4.84 eV per formula unit
! N(E_F): 31.7 states/eV per cell
! crystal system: monoclinic
&SYSTEM
  ibrav = 0, nat = 14, ntyp = 3
/
ATOMIC_SPECIES
Li 6.94 Li.upf
Np 237.00 Np.upf
P 30.97 P.upf
CELL_PARAMETERS angstrom
7.0812 -1.9706 0.0000
7.0812 1.9706 0.0000
-6.1478 0.0000 9.4032
ATOMIC_POSITIONS angstrom
Li -1.4200 0.0000 3.1606
Li 3.8420 0.0000 3.2532
Li 4.1727 0.0000 6.1500
Li 9.4347 0.0000 6.2426
Np -0.3171 0.0000 6.3304
Np 5.3748 0.0000 0.4011
Np 2.6399 0.0000 9.0021
Np 8.3318 0.0000 3.0728
P 0.3079 0.0000 1.3839
P -2.7644 0.0000 7.8005
P 1.9858 0.0000 4.8413
P 6.0288 0.0000 4.5619
P 10.7791 0.0000 1.6027
P 7.7068 0.0000 8.0193

! LiNpP, relaxed, DFT PBE; values from VASP
! SG: P4/nmm (129)
! electronic total energy: -7.157 eV per atom
! calculated density: 9.09 Mg/m³
! DFT formation energy: -1.21 eV per formula unit
! N(E_F): 7.3 states/eV per cell
! crystal system: tetragonal
&SYSTEM
  ibrav = 0, nat = 6, ntyp = 3
/
ATOMIC_SPECIES
Li 6.94 Li.upf
Np 237.00 Np.upf
P 30.97 P.upf
CELL_PARAMETERS angstrom
3.6694 0.0000 0.0000
0.0000 3.6694 0.0000
0.0000 0.0000 7.4580
ATOMIC_POSITIONS angstrom
Li 0.9173 0.9173 0.9749
Li 2.7520 2.7520 6.4831
Np 0.9173 2.7520 3.7290
Np 2.7520 0.9173 3.7290
P 0.9173 0.9173 5.8218
P 2.7520 2.7520 1.6362

! LiNpPa2P4, relaxed, DFT PBE; values from VASP
! SG: P2/m (10)
! electronic total energy: -7.890 eV per atom
! calculated density: 7.91 Mg/m³
! DFT formation energy: -7.63 eV per formula unit
! N(E_F): 12.6 states/eV per cell
! crystal system: monoclinic
&SYSTEM
  ibrav = 0, nat = 8, ntyp = 4
/
ATOMIC_SPECIES
Li 6.94 Li.upf
Np 237.00 Np.upf
Pa 231.04 Pa.upf
P 30.97 P.upf
CELL_PARAMETERS angstrom
6.7336 0.0000 0.0000
0.0000 4.0057 0.0000
-2.3704 0.0000 6.4578
ATOMIC_POSITIONS angstrom
Li 0.0000 0.0000 0.0000
Np -1.1852 2.0029 3.2289
Pa 2.1816 0.0000 3.2289
Pa 3.3668 2.0029 0.0000
P -0.1007 0.0000 4.8506
P 1.1156 2.0029 1.6234
P 3.2476 2.0029 4.8344
P 4.4639 0.0000 1.6072

! LiNp2PaP4, relaxed, DFT PBE; values from VASP
! SG: P2/m (10)
! electronic total energy: -8.188 eV per atom
! calculated density: 8.01 Mg/m³
! DFT formation energy: -6.57 eV per formula unit
! N(E_F): 18.0 states/eV per cell
! crystal system: monoclinic
&SYSTEM
  ibrav = 0, nat = 8, ntyp = 4
/
ATOMIC_SPECIES
Li 6.94 Li.upf
Np 237.00 Np.upf
Pa 231.04 Pa.upf
P 30.97 P.upf
CELL_PARAMETERS angstrom
6.7202 0.0000 0.0000
0.0000 3.9907 0.0000
-2.3168 0.0000 6.4606
ATOMIC_POSITIONS angstrom
Li 0.0000 0.0000 0.0000
Np -1.1584 1.9954 3.2303
Np 2.2017 0.0000 3.2303
Pa 3.3601 1.9954 0.0000
P -0.0668 0.0000 4.8547
P 1.1407 1.9954 1.6508
P 3.2627 1.9954 4.8097
P 4.4702 0.0000 1.6059